No. 1
A relaxed Hg3OsC crystal. Source: Alexandria via LeMat-Bulk, functional GGA-PBEsol.

As for the crystal system: cubic. As for the formation enthalpy at 0 K: 11.240 eV per formula unit.

It has space group Pm-3m (No. 221), with a = 5.173 Å, b = 5.173 Å, c = 5.173 Å, α = 90.00°, β = 90.00° and γ = 90.00°. The distinct sites, in fractional coordinates, are Hg at (0.000, 0.000, 0.500), Os at (0.000, 0.000, 0.000) and C at (0.500, 0.500, 0.500).


No. 2
A relaxed Hg2PC crystal. Source: Alexandria via LeMat-Bulk, functional GGA-PBEsol.

As for the crystal system: cubic. As for the formation enthalpy at 0 K: 6.767 eV per formula unit.

It has space group Fm-3m (No. 225), with a = 6.436 Å, b = 6.436 Å, c = 6.436 Å, α = 90.00°, β = 90.00° and γ = 90.00°. The distinct sites, in fractional coordinates, are Hg at (0.250, 0.250, 0.250), P at (0.000, 0.000, 0.000) and C at (0.000, 0.000, 0.500).


No. 3
A relaxed HgP2C crystal. Source: Alexandria via LeMat-Bulk, functional GGA-PBEsol.

As for the crystal system: cubic. As for the formation enthalpy at 0 K: 7.270 eV per formula unit.

It has space group Fm-3m (No. 225), with a = 6.213 Å, b = 6.213 Å, c = 6.213 Å, α = 90.00°, β = 90.00° and γ = 90.00°. The distinct sites, in fractional coordinates, are Hg at (0.000, 0.000, 0.000), P at (0.250, 0.250, 0.250) and C at (0.000, 0.000, 0.500).


No. 4
A relaxed RbHg2PbC crystal. Source: Alexandria via LeMat-Bulk, functional GGA-PBEsol.

As for the crystal system: tetragonal. As for the formation enthalpy at 0 K: 4.863 eV per formula unit.

It has space group P4/mmm (No. 123), with a = 6.149 Å, b = 6.149 Å, c = 4.323 Å, α = 90.00°, β = 90.00° and γ = 90.00°. The distinct sites, in fractional coordinates, are Rb at (0.000, 0.000, 0.000), Hg at (0.000, 0.500, 0.500), Pb at (0.500, 0.500, 0.500) and C at (0.500, 0.500, 0.000).


> Among the records above, which one has the lowest formation enthalpy at 0 K?

RbHg2PbC